# 1
Computed, not measured: a relaxed structure of CdSi3Br at the PBE level of DFT.

The size of the total moment is 0.609 Bohr magnetons per cell. Its uncorrected formation energy is 117.9 kJ/mol of atoms. For the energy above the lowest structure with this stoichiometry, the calculation gives 0.000 eV per atom. The calculation puts the total energy at -2.550 eV/atom.

Cell: 5.1469 5.1469 5.1469 Å, 90.00 90.00 90.00°
Element x y z (fractional)
Cd 0.0000 0.0000 0.0000
Si 0.0000 0.0000 0.5000
Si 0.0000 0.5000 0.0000
Si 0.5000 0.0000 0.0000
Br 0.5000 0.5000 0.5000

# 2
Computed, not measured: a relaxed structure of CeCoHg at the PBE level of DFT.

The size of the total moment is 0.000 Bohr magnetons per cell. The calculation puts the total energy at -4.736 eV/atom. Its energy of formation from the pure elements is -0.29 eV per atom.

Cell: 6.1651 6.1651 4.7661 Å, 105.14 105.14 45.64°
Element x y z (fractional)
Ce 0.1328 0.1328 0.3280
Ce 0.8672 0.8672 0.6720
Co 0.1918 0.1918 0.8034
Co 0.8082 0.8082 0.1966
Hg 0.4151 0.4151 0.1902
Hg 0.5849 0.5849 0.8098